## w
This record from Alexandria via LeMat-Bulk describes a relaxed TbSnPb2 crystal. The functional is PBE.

Calculated values
As for the magnetization: 0.000 μB/cell. The value obtained for the density of states at the Fermi level is 3.00 states/eV per cell.

Cell: 5.526 5.526 5.529 Å, 60.02 60.02 60.00°
Element x y z (fractional)
1 Tb 0.500 0.500 0.500
2 Sn 0.000 0.000 0.000
3 Pb 0.750 0.750 0.750
4 Pb 0.250 0.250 0.250

=====

## x
This record from Alexandria via LeMat-Bulk describes a relaxed TbSnPb2 crystal. The functional is PBE.

Calculated values
As for the magnetization: 0.000 μB/cell. The value obtained for the density of states at the Fermi level is 2.21 states/eV per cell.

Cell: 4.199 4.199 6.530 Å, 90.00 90.00 90.00°
Element x y z (fractional)
1 Sn 0.500 0.500 0.000
2 Tb 0.500 0.500 0.500
3 Pb 0.000 0.000 0.749
4 Pb 0.000 0.000 0.251

=====

## y
This record from Alexandria via LeMat-Bulk describes a relaxed TbSnPb2 crystal. The functional is PBE.

Calculated values
As for the magnetization: 0.000 μB/cell. The value obtained for the density of states at the Fermi level is 2.58 states/eV per cell.

Cell: 4.851 4.826 4.826 Å, 90.00 90.00 90.00°
Element x y z (fractional)
1 Tb 0.500 0.500 0.500
2 Pb 0.000 0.000 0.500
3 Pb 0.000 0.500 0.000
4 Sn 0.500 0.000 0.000

=====

What should be chosen as the least stable of them? Choose w.

=====

## w
This record from Alexandria via LeMat-Bulk describes a relaxed TbSn2Pb crystal. The functional is PBE.

Calculated values
As for the magnetization: 0.000 μB/cell. The value obtained for the density of states at the Fermi level is 2.25 states/eV per cell.

Cell: 4.651 4.846 4.846 Å, 90.00 90.00 90.00°
Element x y z (fractional)
1 Sn 0.000 0.000 0.500
2 Sn 0.000 0.500 0.000
3 Tb 0.500 0.500 0.500
4 Pb 0.500 0.000 0.000

=====

## x
This record from Alexandria via LeMat-Bulk describes a relaxed TbSn2Pb crystal. The functional is PBE.

Calculated values
As for the magnetization: 0.000 μB/cell. The value obtained for the density of states at the Fermi level is 2.84 states/eV per cell.

Cell: 3.537 5.694 5.694 Å, 77.28 90.00 90.00°
Element x y z (fractional)
1 Pb 0.500 0.000 0.500
2 Tb 0.500 0.500 0.000
3 Sn 0.000 0.500 0.500
4 Sn 0.000 0.000 0.000

=====

## y
This record from Alexandria via LeMat-Bulk describes a relaxed TbSn2Pb crystal. The functional is PBE.

Calculated values
As for the magnetization: 0.000 μB/cell. The value obtained for the density of states at the Fermi level is 2.02 states/eV per cell.

Cell: 4.163 4.163 6.471 Å, 90.00 90.00 90.00°
Element x y z (fractional)
1 Sn 0.000 0.000 0.262
2 Sn 0.000 0.000 0.738
3 Tb 0.500 0.500 0.500
4 Pb 0.500 0.500 0.000

=====

What should be chosen as the least stable of them? Choose x.

=====

## w
This record from Alexandria via LeMat-Bulk describes a relaxed TbSn2Pb crystal. The functional is PBE.

Calculated values
As for the magnetization: 0.000 μB/cell. The value obtained for the density of states at the Fermi level is 3.69 states/eV per cell.

Cell: 4.988 4.988 8.524 Å, 72.99 72.99 60.00°
Element x y z (fractional)
1 Sn 0.880 0.880 0.360
2 Sn 0.120 0.120 0.640
3 Tb 0.500 0.500 0.500
4 Pb 0.000 0.000 0.000

=====

## x
This record from Alexandria via LeMat-Bulk describes a relaxed TbSn2Pb crystal. The functional is PBE.

Calculated values
As for the magnetization: 0.000 μB/cell. The value obtained for the density of states at the Fermi level is 2.18 states/eV per cell.

Cell: 4.561 4.558 6.160 Å, 111.71 111.73 90.00°
Element x y z (fractional)
1 Tb 0.000 0.000 0.000
2 Sn 0.250 0.750 0.500
3 Sn 0.750 0.250 0.500
4 Pb 0.500 0.500 0.000

=====

What should be chosen as the least stable of them? Choose w.

=====

## w
This record from Alexandria via LeMat-Bulk describes a relaxed Tb2SnPb crystal. The functional is PBE.

Calculated values
As for the magnetization: 0.002 μB/cell. The value obtained for the density of states at the Fermi level is 3.74 states/eV per cell.

Cell: 3.513 3.513 8.925 Å, 90.00 90.00 90.00°
Element x y z (fractional)
1 Tb 0.000 0.000 0.242
2 Tb 0.000 0.000 0.758
3 Sn 0.500 0.500 0.000
4 Pb 0.500 0.500 0.500

=====

## x
This record from Alexandria via LeMat-Bulk describes a relaxed Tb2SnPb crystal. The functional is PBE.

Calculated values
As for the magnetization: 0.000 μB/cell. The value obtained for the density of states at the Fermi level is 3.49 states/eV per cell.

Cell: 5.422 5.422 5.422 Å, 60.00 60.00 60.00°
Element x y z (fractional)
1 Tb 0.750 0.750 0.750
2 Tb 0.250 0.250 0.250
3 Pb 0.000 0.000 0.000
4 Sn 0.500 0.500 0.500

=====

What should be chosen as the least stable of them? Choose x.

=====

## w
This record from Alexandria via LeMat-Bulk describes a relaxed Tb2SnPb crystal. The functional is PBE.

Calculated values
As for the magnetization: 0.000 μB/cell. The value obtained for the density of states at the Fermi level is 5.17 states/eV per cell.

Cell: 4.390 6.220 9.036 Å, 111.37 90.00 90.00°
Element x y z (fractional)
1 Tb 0.750 0.240 0.931
2 Tb 0.250 0.760 0.069
3 Tb 0.750 0.231 0.437
4 Tb 0.250 0.769 0.563
5 Sn 0.250 0.311 0.702
6 Sn 0.750 0.689 0.298
7 Pb 0.750 0.699 0.799
8 Pb 0.250 0.301 0.201

=====

## x
This record from Alexandria via LeMat-Bulk describes a relaxed Tb2SnPb crystal. The functional is PBE.

Calculated values
As for the magnetization: 0.000 μB/cell. The value obtained for the density of states at the Fermi level is 3.41 states/eV per cell.

Cell: 4.017 4.017 8.954 Å, 77.04 77.04 60.00°
Element x y z (fractional)
1 Tb 0.747 0.747 0.758
2 Tb 0.253 0.253 0.242
3 Pb 0.500 0.500 0.500
4 Sn 0.000 0.000 0.000

=====

What should be chosen as the least stable of them? Choose x.

=====

## w
This record from Alexandria via LeMat-Bulk describes a relaxed TbSnPb crystal. The functional is PBE.

Calculated values
As for the magnetization: 0.000 μB/cell. The value obtained for the density of states at the Fermi level is 3.91 states/eV per cell.

Cell: 3.540 6.002 8.213 Å, 90.00 90.00 90.00°
Element x y z (fractional)
1 Tb 0.000 0.750 0.335
2 Tb 0.000 0.250 0.665
3 Sn 0.000 0.500 0.000
4 Sn 0.000 0.000 0.000
5 Pb 0.500 0.250 0.314
6 Pb 0.500 0.750 0.686

=====

## x
This record from Alexandria via LeMat-Bulk describes a relaxed TbSnPb crystal. The functional is PBE.

Calculated values
As for the magnetization: 0.222 μB/cell. The value obtained for the density of states at the Fermi level is 3.42 states/eV per cell.

Cell: 3.904 3.904 6.176 Å, 108.43 108.43 90.00°
Last column: magnetic moment on the atom in μB.
Element x y z (fractional)
1 Pb 0.677 0.677 0.354  0.01
2 Sn 0.328 0.328 0.656  0.01
3 Tb 0.995 0.995 0.990  0.12

=====

## y
This record from Alexandria via LeMat-Bulk describes a relaxed TbSnPb crystal. The functional is PBE.

Calculated values
As for the magnetization: 0.000 μB/cell. The value obtained for the density of states at the Fermi level is 2.20 states/eV per cell.

Cell: 3.385 5.408 5.408 Å, 120.00 90.00 90.00°
Element x y z (fractional)
1 Pb 0.173 0.333 0.667
2 Sn 0.159 0.000 0.000
3 Tb 0.667 0.667 0.333

=====

What should be chosen as the least stable of them? Choose w.